Here is SmThCoRh after structural relaxation from the Alexandria database. Energies are from PBE.

Output
formation energy from the elements: -0.388 eV/atom

a b c (Å): 6.983 6.983 6.983
angles (deg): 90.00 90.00 90.00
Space group F-43m (No. 216)
Inequivalent atoms, fractional coordinates:
Sm 0.000 0.000 0.000
Th 0.000 0.000 0.500
Co 0.250 0.250 0.250
Rh 0.250 0.250 0.750

=====

Here is Tm2Zn2Tc2C after structural relaxation from the Alexandria database. Energies are from PBE.

Output
formation energy from the elements: -0.287 eV/atom

a b c (Å): 10.910 3.386 6.692
angles (deg): 90.00 107.43 90.00
Space group C2/m (No. 12)
Inequivalent atoms, fractional coordinates:
Tm 0.006 0.000 0.256
Zn 0.191 0.500 0.601
Tc 0.189 0.500 0.085
C 0.000 0.500 0.000

=====

Here is PrCdPt after structural relaxation from the Alexandria database. Energies are from PBE.

Output
formation energy from the elements: -0.660 eV/atom

a b c (Å): 4.7362 4.7362 3.7338
angles (deg): 90.00 90.00 120.00
Space group P-6m2 (No. 187)
Inequivalent atoms, fractional coordinates:
Pr 0.0000 0.0000 0.0000
Cd 0.3333 0.6667 0.5000
Pt 0.6667 0.3333 0.5000

=====

Here is AcSnGe4 after structural relaxation from the Alexandria database. Energies are from PBE.

Output
formation energy from the elements: -0.169 eV/atom

a b c (Å): 8.246 8.246 8.246
angles (deg): 90.00 90.00 90.00
Space group F-43m (No. 216)
Inequivalent atoms, fractional coordinates:
Ac 0.000 0.000 0.000
Sn 0.250 0.250 0.250
Ge 0.122 0.122 0.622

=====

Here is CaAc2PrAs4 after structural relaxation from the Alexandria database. Energies are from PBE.

Output
formation energy from the elements: -1.309 eV/atom

a b c (Å): 7.615 4.451 7.699
angles (deg): 90.00 109.75 90.00
Space group P2/m (No. 10)
Inequivalent atoms, fractional coordinates:
Ca 0.000 0.000 0.000
Ac 0.500 0.000 0.500
Ac 0.500 0.500 0.000
Pr 0.000 0.500 0.500
As 0.238 0.000 0.744
As 0.239 0.500 0.248

=====

Here is Ni3PCl after structural relaxation from the Alexandria database. Energies are from PBE.

Output
energy above the most stable polymorph in this dataset: 0.0 meV/atom
ΔE_f (raw): 1.3 eV per formula unit

a b c (Å): 4.264 4.264 4.264
angles (deg): 90.00 90.00 90.00
Space group Pm-3m (No. 221)
Inequivalent atoms, fractional coordinates:
Ni 0.000 0.000 0.500
P 0.000 0.000 0.000
Cl 0.500 0.500 0.500

=====

Let's list size of the total moment in order: 0.005, 0.000, 0.000, 0.000, 0.000, 0.000 μB per formula unit.